[1]
Entry from Alexandria via LeMat-Bulk: an optimized crystal structure of Tb2AlPd2 (PBE-GGA).

Lattice parameters (Å, degrees): 7.484 7.484 7.690 90.00 90.00 90.00
Positions (direct):
Tb1 0.175 0.325 0.000
Tb2 0.175 0.325 0.500
Tb3 0.325 0.825 0.000
Tb4 0.325 0.825 0.500
Tb5 0.675 0.175 0.000
Tb6 0.675 0.175 0.500
Tb7 0.825 0.675 0.000
Tb8 0.825 0.675 0.500
Al1 0.000 0.000 0.249
Al2 0.000 0.000 0.751
Al3 0.500 0.500 0.251
Al4 0.500 0.500 0.749
Pd1 0.133 0.633 0.250
Pd2 0.133 0.633 0.750
Pd3 0.367 0.133 0.250
Pd4 0.367 0.133 0.750
Pd5 0.633 0.867 0.250
Pd6 0.633 0.867 0.750
Pd7 0.867 0.367 0.250
Pd8 0.867 0.367 0.750

## Properties
- Formation enthalpy at 0 K: -0.81 eV/atom
- Total magnetization: 0.00 μB/f.u.
- Final energy: -5.492 eV per atom

=====

[2]
Entry from Alexandria via LeMat-Bulk: an optimized crystal structure of SiHg2Te (PBE-GGA).

Lattice parameters (Å, degrees): 3.487 3.487 10.519 90.00 90.00 115.04
Positions (direct):
Si1 0.000 0.000 0.000
Hg1 0.000 0.000 0.497
Hg2 0.500 0.500 0.768
Te1 0.500 0.500 0.177

## Properties
- Total magnetization: 0.00 μB/f.u.
- E above lowest polymorph: 167 meV per atom
- ΔE_f (raw): 0.2819 eV/atom
- Final energy: -2.010 eV per atom

=====

[3]
Entry from Alexandria via LeMat-Bulk: an optimized crystal structure of NbN3Cl (PBE-GGA).

Lattice parameters (Å, degrees): 4.142 4.142 4.142 90.00 90.00 90.00
Positions (direct):
Nb1 0.000 0.000 0.000
N1 0.000 0.000 0.500
N2 0.000 0.500 0.000
N3 0.500 0.000 0.000
Cl1 0.500 0.500 0.500

## Properties
- Total magnetization: 1.61 μB/f.u.
- ΔE_f (raw): 1.1919 eV/atom
- Final energy: -6.187 eV per atom

=====

[4]
Entry from Alexandria via LeMat-Bulk: an optimized crystal structure of Ac3CdSi (PBE-GGA).

Lattice parameters (Å, degrees): 4.736 7.843 10.049 90.00 90.00 90.00
Positions (direct):
Ac1 0.250 0.011 0.160
Ac2 0.250 0.250 0.579
Ac3 0.250 0.489 0.160
Ac4 0.750 0.511 0.840
Ac5 0.750 0.750 0.421
Ac6 0.750 0.989 0.840
Cd1 0.250 0.750 0.659
Cd2 0.750 0.250 0.341
Si1 0.250 0.250 0.894
Si2 0.750 0.750 0.106

## Properties
- Total magnetization: 0.00 μB/f.u.
- E above lowest polymorph: 12 meV per atom
- ΔE_f (raw): -0.2688 eV/atom
- Final energy: -4.002 eV per atom